# BaAg3N

A relaxed structure of BaAg3N (PBE, Alexandria via LeMat-Bulk).

Cell lengths 4.7818, 4.7818, 4.7818 Å; angles 90.00, 90.00, 90.00 degrees
Element x y z (fractional)
Ag1 0.0000 0.5000 0.0000
Ag2 0.0000 0.0000 0.5000
Ag3 0.5000 0.0000 0.0000
N1 0.0000 0.0000 0.0000
Ba1 0.5000 0.5000 0.5000

Output
As for the total DFT energy (no corrections): -0.1219 hartree per atom. For the formation energy from raw total energies, the calculation gives 0.443 eV/atom. The excess energy over the best structure of this formula in the dataset comes out at 0 meV/atom.